P) VASP calculation (GGA-PBE) on TlFeNi2 after structural relaxation.

Cell lengths 3.055, 3.055, 6.164 Å; angles 90.00, 90.00, 90.00 degrees
Space group P4/mmm (No. 123)
Unique sites:
Tl 0.000 0.000 0.000
Fe 0.000 0.000 0.500
Ni 0.500 0.500 0.298

Values from the calculation:
The calculation puts the density of states at the Fermi level at 3.42 states/eV/f.u.

=====

Q) VASP calculation (GGA-PBE) on TlFeNi2 after structural relaxation.

Cell lengths 2.9910, 2.9910, 23.4752 Å; angles 90.00, 90.00, 120.00 degrees
Space group R-3m (No. 166, hexagonal axes)
Unique sites:
Tl 0.0000 0.0000 0.0000
Fe 0.0000 0.0000 0.5000
Ni 0.0000 0.0000 0.2394

Values from the calculation:
The calculation puts the density of states at the Fermi level at 2.47 states/eV/f.u.

=====

Of them, Q) has the lowest stability.

=====

P) VASP calculation (GGA-PBE) on TlFeNi2 after structural relaxation.

Cell lengths 3.895, 3.895, 3.713 Å; angles 90.00, 90.00, 90.00 degrees
Space group P4/mmm (No. 123)
Unique sites:
Tl 0.000 0.000 0.000
Fe 0.500 0.500 0.000
Ni 0.000 0.500 0.500

Values from the calculation:
The calculation puts the density of states at the Fermi level at 5.48 states/eV/f.u.

=====

Q) VASP calculation (GGA-PBE) on TlFeNi2 after structural relaxation.

Cell lengths 5.631, 5.697, 6.991 Å; angles 90.00, 90.00, 90.00 degrees
Space group Fmmm (No. 69)
Unique sites:
Tl 0.000 0.000 0.000
Fe 0.000 0.000 0.500
Ni 0.250 0.250 0.250

Values from the calculation:
The calculation puts the density of states at the Fermi level at 4.43 states/eV/f.u.

=====

R) VASP calculation (GGA-PBE) on TlFeNi2 after structural relaxation.

Cell lengths 6.071, 6.071, 6.071 Å; angles 90.00, 90.00, 90.00 degrees
Space group F-43m (No. 216)
Unique sites:
Tl 0.000 0.000 0.000
Fe 0.250 0.250 0.250
Ni 0.000 0.000 0.500
Ni 0.250 0.250 0.750

Values from the calculation:
The calculation puts the density of states at the Fermi level at 2.74 states/eV/f.u.

=====

S) VASP calculation (GGA-PBE) on TlFeNi2 after structural relaxation.

Cell lengths 3.836, 3.836, 7.599 Å; angles 90.00, 90.00, 90.00 degrees
Space group I-4m2 (No. 119)
Unique sites:
Tl 0.000 0.000 0.000
Fe 0.000 0.500 0.250
Ni 0.000 0.000 0.500
Ni 0.000 0.500 0.750

Values from the calculation:
The calculation puts the density of states at the Fermi level at 3.08 states/eV/f.u.

=====

Of them, R) has the lowest stability.

=====

P) VASP calculation (GGA-PBE) on TlFeNi2 after structural relaxation.

Cell lengths 2.910, 4.315, 4.563 Å; angles 90.00, 90.00, 90.00 degrees
Space group Pmm2 (No. 25)
Unique sites:
Tl 0.000 0.000 0.000
Fe 0.000 0.500 0.587
Ni 0.500 0.000 0.502
Ni 0.500 0.500 0.151

Values from the calculation:
The calculation puts the density of states at the Fermi level at 3.95 states/eV/f.u.

=====

Q) VASP calculation (GGA-PBE) on TlFeNi2 after structural relaxation.

Cell lengths 3.127, 3.127, 5.871 Å; angles 90.00, 90.00, 90.00 degrees
Space group P4mm (No. 99)
Unique sites:
Tl 0.000 0.000 0.000
Fe 0.500 0.500 0.318
Ni 0.000 0.000 0.502
Ni 0.500 0.500 0.725

Values from the calculation:
The calculation puts the density of states at the Fermi level at 3.45 states/eV/f.u.

=====

R) VASP calculation (GGA-PBE) on TlFeNi2 after structural relaxation.

Cell lengths 8.178, 3.109, 4.749 Å; angles 90.00, 105.00, 90.00 degrees
Space group C2/m (No. 12)
Unique sites:
Tl 0.000 0.000 0.000
Fe 0.000 0.500 0.500
Ni 0.237 0.000 0.696

Values from the calculation:
The calculation puts the density of states at the Fermi level at 2.79 states/eV/f.u.

=====

Of them, P) has the lowest stability.

=====

P) VASP calculation (GGA-PBE) on Tl3FeNi after structural relaxation.

Cell lengths 5.088, 5.088, 5.088 Å; angles 90.00, 90.00, 90.00 degrees
Space group Pm-3m (No. 221)
Unique sites:
Tl 0.000 0.000 0.500
Fe 0.000 0.000 0.000
Ni 0.500 0.500 0.500

Values from the calculation:
The calculation puts the density of states at the Fermi level at 10.91 states/eV/f.u.

=====

Q) VASP calculation (GGA-PBE) on Tl3FeNi after structural relaxation.

Cell lengths 5.054, 5.054, 5.054 Å; angles 90.00, 90.00, 90.00 degrees
Space group Pm-3m (No. 221)
Unique sites:
Tl 0.000 0.000 0.500
Fe 0.500 0.500 0.500
Ni 0.000 0.000 0.000

Values from the calculation:
The calculation puts the density of states at the Fermi level at 7.34 states/eV/f.u.

=====

Of them, P) has the lowest stability.

=====

P) VASP calculation (GGA-PBE) on UFeNi after structural relaxation.

Cell lengths 4.1989, 4.1989, 3.0962 Å; angles 90.00, 90.00, 120.00 degrees
Space group P-6m2 (No. 187)
Unique sites:
U 0.0000 0.0000 0.0000
Fe 0.3333 0.6667 0.5000
Ni 0.6667 0.3333 0.5000

Values from the calculation:
The calculation puts the density of states at the Fermi level at 7.72 states/eV/f.u.

=====

Q) VASP calculation (GGA-PBE) on UFeNi after structural relaxation.

Cell lengths 4.591, 4.268, 4.786 Å; angles 90.00, 111.71, 90.00 degrees
Space group P2_1/m (No. 11)
Unique sites:
U 0.191 0.250 0.173
Fe 0.410 0.250 0.834
Ni 0.170 0.750 0.505

Values from the calculation:
The calculation puts the density of states at the Fermi level at 3.49 states/eV/f.u.

=====

Of them, P) has the lowest stability.

=====

P) VASP calculation (GGA-PBE) on UFeNi after structural relaxation.

Cell lengths 2.906, 2.906, 10.581 Å; angles 90.00, 90.00, 90.00 degrees
Space group I4mm (No. 107)
Unique sites:
U 0.000 0.000 0.000
Fe 0.000 0.000 0.320
Ni 0.000 0.000 0.689

Values from the calculation:
The calculation puts the density of states at the Fermi level at 5.57 states/eV/f.u.

=====

Q) VASP calculation (GGA-PBE) on UFeNi after structural relaxation.

Cell lengths 4.075, 4.790, 5.251 Å; angles 95.47, 111.58, 100.79 degrees
Space group P-1 (No. 2)
Unique sites:
U 0.232 0.194 0.296
Fe 0.027 0.567 0.278
Ni 0.499 0.785 0.119

Values from the calculation:
The calculation puts the density of states at the Fermi level at 4.04 states/eV/f.u.

=====

Of them, P) has the lowest stability.

=====

P) VASP calculation (GGA-PBE) on V2Fe2Ni15 after structural relaxation.

Cell lengths 8.0117, 8.0117, 12.2020 Å; angles 90.00, 90.00, 120.00 degrees
Space group R-3m (No. 166, hexagonal axes)
Unique sites:
V 0.0000 0.0000 0.1962
Fe 0.0000 0.0000 0.4030
Ni 0.0000 0.3139 0.5000
Ni 0.0000 0.5000 0.0000
Ni 0.0036 0.5018 0.6555

Values from the calculation:
The calculation puts the density of states at the Fermi level at 23.07 states/eV/f.u.

=====

Q) VASP calculation (GGA-PBE) on V2Fe2Ni15 after structural relaxation.

Cell lengths 8.0107, 8.0107, 12.2558 Å; angles 90.00, 90.00, 120.00 degrees
Space group R-3m (No. 166, hexagonal axes)
Unique sites:
V 0.0000 0.0000 0.0935
Fe 0.0000 0.0000 0.3148
Ni 0.0000 0.3171 0.0000
Ni 0.0000 0.5000 0.5000
Ni 0.0028 0.5014 0.1578

Values from the calculation:
The calculation puts the density of states at the Fermi level at 26.26 states/eV/f.u.

=====

Of them, Q) has the lowest stability.

=====

P) VASP calculation (GGA-PBE) on V2Fe2Ni after structural relaxation.

Cell lengths 6.575, 6.575, 2.762 Å; angles 90.00, 90.00, 90.00 degrees
Space group P4/mbm (No. 127)
Unique sites:
V 0.164 0.336 0.000
Fe 0.137 0.637 0.500
Ni 0.000 0.000 0.500

Values from the calculation:
The calculation puts the density of states at the Fermi level at 6.32 states/eV/f.u.

=====

Q) VASP calculation (GGA-PBE) on V2Fe2Ni after structural relaxation.

Cell lengths 2.763, 11.739, 3.912 Å; angles 90.00, 90.00, 90.00 degrees
Space group Cmmm (No. 65)
Unique sites:
V 0.000 0.147 0.000
Fe 0.000 0.330 0.500
Ni 0.000 0.000 0.500

Values from the calculation:
The calculation puts the density of states at the Fermi level at 5.86 states/eV/f.u.

=====

R) VASP calculation (GGA-PBE) on V2Fe2Ni after structural relaxation.

Cell lengths 6.719, 6.719, 2.689 Å; angles 90.00, 90.00, 90.00 degrees
Space group P4/mbm (No. 127)
Unique sites:
V 0.152 0.348 0.000
Fe 0.148 0.648 0.500
Ni 0.000 0.000 0.000

Values from the calculation:
The calculation puts the density of states at the Fermi level at 5.20 states/eV/f.u.

=====

Of them, Q) has the lowest stability.